[1]
Entry from Alexandria via LeMat-Bulk: crystalline LiCa2Pt2 at its relaxed geometry (PBE).

Cell: 5.5735 5.5735 5.5930 Å, 60.11 60.11 90.00°
Sites, in units of the cell vectors:
Ca1 0.7500 0.2500 0.5000
Ca2 0.2500 0.7500 0.5000
Pt1 0.3337 0.3337 0.3326
Pt2 0.6663 0.6663 0.6674
Li1 0.0000 0.0000 0.0000

## Properties
**Formation energy**: -548 meV per atom
**Space-group type**: I4/mmm

---

[2]
Entry from Alexandria via LeMat-Bulk: crystalline Pu4Pd3Au at its relaxed geometry (PBE).

Cell: 3.0652 5.3646 10.6991 Å, 90.00 90.00 90.00°
Each line ends with the local moment (μB).
Sites, in units of the cell vectors:
Au1 0.5000 0.5000 0.0000  0.00
Pd1 0.5000 0.0000 0.2512  0.01
Pd2 0.5000 0.5000 0.5000  0.00
Pd3 0.5000 0.0000 0.7488  0.01
Pu1 0.0000 0.0000 0.5000  5.39
Pu2 0.0000 0.5000 0.7432  5.47
Pu3 0.0000 0.0000 0.0000  -5.49
Pu4 0.0000 0.5000 0.2568  5.47

## Properties
**Formation energy**: -398 meV per atom
**Space-group type**: Pmmm

---

[3]
Entry from Alexandria via LeMat-Bulk: crystalline NpSnBi at its relaxed geometry (PBE).

Cell: 3.2238 3.2238 8.5067 Å, 100.92 100.92 90.00°
Each line ends with the local moment (μB).
Sites, in units of the cell vectors:
Np1 0.6636 0.6636 0.3272  4.10
Bi1 0.3200 0.3200 0.6401  -0.10
Sn1 0.0164 0.0164 0.0327  -0.06

## Properties
**Formation energy**: 130 meV per atom
**Space-group type**: I4mm

---

[4]
Entry from Alexandria via LeMat-Bulk: crystalline HfPa2TaN5 at its relaxed geometry (PBE).

Cell: 3.3166 6.8880 10.4673 Å, 90.00 90.00 103.93°
Sites, in units of the cell vectors:
Hf1 0.7853 0.5706 0.5071
Hf2 0.2147 0.4294 0.0071
Pa1 0.8540 0.7079 0.7934
Pa2 0.1047 0.2094 0.6873
Pa3 0.1460 0.2921 0.2934
Pa4 0.8953 0.7906 0.1873
Ta1 0.5263 0.0526 0.9607
Ta2 0.4737 0.9474 0.4607
N1 0.3744 0.7488 0.0035
N2 0.6780 0.3560 0.8704
N3 0.4840 0.9680 0.7724
N4 0.2764 0.5528 0.6590
N5 0.9444 0.8888 0.5701
N6 0.6256 0.2512 0.5035
N7 0.3220 0.6440 0.3704
N8 0.5160 0.0320 0.2724
N9 0.7236 0.4472 0.1590
N10 0.0556 0.1112 0.0701

## Properties
**Energy relative to the elements, uncorrected**: -1.48 eV/atom
**Space-group type**: Cmc2_1

---

[5]
Entry from Alexandria via LeMat-Bulk: crystalline YRe3 at its relaxed geometry (PBE).

Cell: 5.2062 5.2062 5.2062 Å, 90.00 90.00 90.00°
Sites, in units of the cell vectors:
Y1 0.0000 0.0000 0.0000
Y2 0.5000 0.5000 0.5000
Re1 0.0000 0.2500 0.5000
Re2 0.0000 0.7500 0.5000
Re3 0.2500 0.5000 0.0000
Re4 0.5000 0.0000 0.2500
Re5 0.5000 0.0000 0.7500
Re6 0.7500 0.5000 0.0000

## Properties
**Formation energy**: 691 meV per atom
**Space-group type**: Pm-3n

---

[6]
Entry from Alexandria via LeMat-Bulk: crystalline La8BS3I4 at its relaxed geometry (PBE).

Cell: 8.4419 9.1993 8.4422 Å, 117.32 120.00 90.00°
Sites, in units of the cell vectors:
La1 0.2219 0.6878 0.9660
La2 0.2219 0.6879 0.4439
La3 0.2697 0.3091 0.5393
La4 0.7440 0.6878 0.9660
La5 0.2560 0.3122 0.0340
La6 0.7303 0.6909 0.4607
La7 0.7781 0.3121 0.5561
La8 0.7781 0.3122 0.0340
B1 0.0000 0.5000 0.0000
S1 0.5000 0.5000 0.0000
S2 0.5000 0.5000 0.5000
S3 0.0000 0.5000 0.5000
I1 0.5000 0.0000 0.0000
I2 0.5000 0.0000 0.5000
I3 0.0000 0.0000 0.0000
I4 0.0000 0.0000 0.5000

## Properties
**Energy relative to the elements, uncorrected**: -1.40 eV/atom
**Space-group type**: R-3m

---

[7]
Entry from Alexandria via LeMat-Bulk: crystalline NbNi3I at its relaxed geometry (PBE).

Cell: 4.6700 4.6700 4.6700 Å, 90.00 90.00 90.00°
Sites, in units of the cell vectors:
I1 0.5000 0.5000 0.5000
Ni1 0.0000 0.5000 0.0000
Ni2 0.0000 0.0000 0.5000
Ni3 0.5000 0.0000 0.0000
Nb1 0.0000 0.0000 0.0000

## Properties
**Energy relative to the elements, uncorrected**: 1.30 eV/atom
**Space-group type**: Pm-3m

---

[8]
Entry from Alexandria via LeMat-Bulk: crystalline ScTl2Ru at its relaxed geometry (PBE).

Cell: 3.3817 3.3817 7.1559 Å, 90.00 90.00 89.96°
Each line ends with the local moment (μB).
Sites, in units of the cell vectors:
Ru1 0.5000 0.5000 0.2500  0.02
Sc1 0.5000 0.5000 0.7500  0.34
Tl1 0.0000 0.0000 0.0261  0.00
Tl2 0.0000 0.0000 0.4739  0.00

## Properties
**Formation energy**: 165 meV per atom
**Space-group type**: P4/mmm

---

[9]
Entry from Alexandria via LeMat-Bulk: crystalline TlSi2Se at its relaxed geometry (PBE).

Cell: 5.7713 5.7713 5.7713 Å, 145.91 117.06 73.55°
Sites, in units of the cell vectors:
Se1 0.1841 0.6841 0.5000
Si1 0.9978 0.9978 0.0000
Si2 0.8059 0.3059 0.5000
Tl1 0.5122 0.5122 0.0000

## Properties
**Energy relative to the elements, uncorrected**: 0.37 eV/atom
**Space-group type**: Imm2

---

[10]
Entry from Alexandria via LeMat-Bulk: crystalline NdTmHgOs at its relaxed geometry (PBE).

Cell: 5.0692 5.0692 5.0692 Å, 60.00 60.00 60.00°
Sites, in units of the cell vectors:
Nd1 0.5000 0.5000 0.5000
Tm1 0.0000 0.0000 0.0000
Os1 0.2500 0.2500 0.2500
Hg1 0.7500 0.7500 0.7500

## Properties
**Formation energy**: -189 meV per atom
**Space-group type**: F-43m

---

[11]
Entry from Alexandria via LeMat-Bulk: crystalline Pm2ErHg4Pb at its relaxed geometry (PBE).

Cell: 5.2893 5.2893 9.3312 Å, 73.54 73.54 60.00°
Sites, in units of the cell vectors:
Pm1 0.7430 0.7430 0.7709
Pm2 0.2570 0.2570 0.2291
Er1 0.5000 0.5000 0.5000
Hg1 0.3822 0.3822 0.8533
Hg2 0.8668 0.8668 0.3997
Hg3 0.1332 0.1332 0.6003
Hg4 0.6178 0.6178 0.1467
Pb1 0.0000 0.0000 0.0000

## Properties
**Formation energy**: -430 meV per atom
**Space-group type**: R-3m

---

[12]
Entry from Alexandria via LeMat-Bulk: crystalline KHg2Pb2 at its relaxed geometry (PBE).

Cell: 9.1977 9.1977 3.7037 Å, 90.00 90.00 90.00°
Sites, in units of the cell vectors:
Pb1 0.1375 0.6375 0.5000
Pb2 0.6375 0.8625 0.5000
Pb3 0.8625 0.3625 0.5000
Pb4 0.3625 0.1375 0.5000
K1 0.0000 0.0000 0.0000
K2 0.5000 0.5000 0.0000
Hg1 0.3439 0.8439 0.0000
Hg2 0.8439 0.6561 0.0000
Hg3 0.6561 0.1561 0.0000
Hg4 0.1561 0.3439 0.0000

## Properties
**Formation energy**: -76 meV per atom
**Space-group type**: P4/mbm

---

[13]
Entry from Alexandria via LeMat-Bulk: crystalline LaAgSn at its relaxed geometry (PBE).

Cell: 6.2248 4.8750 8.4065 Å, 90.02 132.48 66.94°
Sites, in units of the cell vectors:
Sn1 0.2218 0.7098 0.6153
Sn2 0.2989 0.1711 0.1538
Ag1 0.1739 0.2338 0.7597
Ag2 0.3459 0.6477 0.3458
La1 0.7601 0.9406 0.7438
La2 0.7602 0.4404 0.2022

## Properties
**Formation energy**: -598 meV per atom
**Space-group type**: Imm2

---

[14]
Entry from Alexandria via LeMat-Bulk: crystalline TbPm2YAs4 at its relaxed geometry (PBE).

Cell: 4.1879 7.2494 7.2457 Å, 109.47 90.00 90.00°
Sites, in units of the cell vectors:
Tb1 0.5000 0.5000 0.0000
Pm1 0.5000 0.0000 0.5000
Pm2 0.0000 0.5000 0.5000
Y1 0.0000 0.0000 0.0000
As1 0.5000 0.2476 0.2435
As2 0.5000 0.7524 0.7565
As3 0.0000 0.2519 0.7562
As4 0.0000 0.7481 0.2438

## Properties
**Formation energy**: -1536 meV per atom
**Space-group type**: P2/m

---

[15]
Entry from Alexandria via LeMat-Bulk: crystalline CaIrF2 at its relaxed geometry (PBE).

Cell: 5.6134 5.6134 6.3667 Å, 63.84 63.84 90.00°
Each line ends with the local moment (μB).
Sites, in units of the cell vectors:
Ca1 0.5000 0.5000 0.0000  -0.01
Ca2 0.2500 0.7500 0.5000  -0.01
Ir1 0.0000 0.0000 0.0000  1.81
Ir2 0.7500 0.2500 0.5000  1.81
F1 0.5604 0.1250 0.2500  0.04
F2 0.1896 0.6250 0.2500  0.03
F3 0.3750 0.4396 0.7500  0.04
F4 0.8750 0.8104 0.7500  0.03

## Properties
**Energy relative to the elements, uncorrected**: -1.16 eV/atom
**Space-group type**: I-42d

---

[16]
Entry from Alexandria via LeMat-Bulk: crystalline PrZn2GaCu at its relaxed geometry (PBE).

Cell: 4.3234 4.3159 5.9105 Å, 111.41 111.45 90.00°
Sites, in units of the cell vectors:
Pr1 0.4398 0.4398 0.8797
Zn1 0.6916 0.1916 0.3831
Zn2 0.0651 0.0651 0.1302
Ga1 0.8209 0.8209 0.6417
Cu1 0.1947 0.6947 0.3895

## Properties
**Formation energy**: -360 meV per atom
**Space-group type**: Imm2

---

[17]
Entry from Alexandria via LeMat-Bulk: crystalline BC2 at its relaxed geometry (PBE).

Cell: 4.5107 4.5563 4.6339 Å, 100.62 101.16 119.43°
Sites, in units of the cell vectors:
B1 0.0607 0.7503 0.1547
B2 0.3423 0.6483 0.9847
B3 0.8294 0.1629 0.5047
B4 0.6368 0.2990 0.9825
C1 0.1611 0.8308 0.5170
C2 0.4992 0.5002 0.4996
C3 0.3685 0.3733 0.1381
C4 0.2192 0.5524 0.6123
C5 0.7230 0.0442 0.1175
C6 0.5356 0.2137 0.6145
C7 0.9992 0.0080 0.9933
C8 0.8749 0.8669 0.6309

## Properties
**Formation energy**: 397 meV per atom
**Space-group type**: P1

---

[18]
Entry from Alexandria via LeMat-Bulk: crystalline LiCe2HfAs4 at its relaxed geometry (PBE).

Cell: 4.0809 7.1641 6.7503 Å, 110.10 90.00 90.00°
Each line ends with the local moment (μB).
Sites, in units of the cell vectors:
Li1 0.5000 0.5000 0.0000  0.00
Ce1 0.5000 0.0000 0.5000  0.11
Ce2 0.0000 0.5000 0.5000  0.45
Hf1 0.0000 0.0000 0.0000  0.02
As1 0.5000 0.2383 0.2294  -0.01
As2 0.5000 0.7617 0.7706  -0.01
As3 0.0000 0.2467 0.7667  -0.01
As4 0.0000 0.7533 0.2333  -0.01

## Properties
**Formation energy**: -1061 meV per atom
**Space-group type**: P2/m

---

[19]
Entry from Alexandria via LeMat-Bulk: crystalline Li3Pd6Pt2 at its relaxed geometry (PBE).

Cell: 5.4249 5.4161 12.5459 Å, 46.24 61.96 96.38°
Sites, in units of the cell vectors:
Li1 0.0000 0.0000 0.0000
Li2 0.7680 0.5090 0.4863
Li3 0.2320 0.4910 0.5137
Pd1 0.0974 0.7077 0.8229
Pd2 0.6156 0.1732 0.8224
Pd3 0.9026 0.2923 0.1771
Pd4 0.3844 0.8268 0.1776
Pd5 0.7219 0.9476 0.5178
Pd6 0.2781 0.0524 0.4822
Pt1 0.4286 0.3569 0.1594
Pt2 0.5714 0.6431 0.8406

## Properties
**Formation energy**: -241 meV per atom
**Space-group type**: P-1

---

[20]
Entry from Alexandria via LeMat-Bulk: crystalline K3CrAg2Br9 at its relaxed geometry (PBE).

Cell: 7.5823 7.5823 9.3725 Å, 90.00 90.00 120.00°
Each line ends with the local moment (μB).
Sites, in units of the cell vectors:
K1 0.3333 0.6667 0.6742  0.00
K2 0.0000 0.0000 0.0000  0.00
K3 0.6667 0.3333 0.3258  0.00
Cr1 0.0000 0.0000 0.5000  3.03
Ag1 0.3333 0.6667 0.1684  0.06
Ag2 0.6667 0.3333 0.8316  0.06
Br1 0.8416 0.1584 0.6560  -0.01
Br2 0.8416 0.6833 0.6560  -0.01
Br3 0.3167 0.1584 0.6560  -0.01
Br4 0.6833 0.8416 0.3440  -0.01
Br5 0.1584 0.3167 0.3440  -0.01
Br6 0.1584 0.8416 0.3440  -0.01
Br7 0.5000 0.0000 0.0000  0.06
Br8 0.0000 0.5000 0.0000  0.06
Br9 0.5000 0.5000 0.0000  0.06

## Properties
**Energy relative to the elements, uncorrected**: -0.96 eV/atom
**Space-group type**: P-3m1

---

Number 1: calculated density 6.4 Mg/m³. Number 2: calculated density 14.1 Mg/m³. Number 3: calculated density 11.0 Mg/m³. Number 4: calculated density 12.8 Mg/m³. Number 5: calculated density 15.2 Mg/m³. Number 6: calculated density 6.0 Mg/m³. Number 7: calculated density 6.5 Mg/m³. Number 8: calculated density 11.3 Mg/m³. Number 9: calculated density 6.0 Mg/m³. Number 10: calculated density 12.7 Mg/m³. Number 11: calculated density 11.4 Mg/m³. Number 12: calculated density 9.1 Mg/m³. Number 13: calculated density 7.6 Mg/m³. Number 14: calculated density 6.7 Mg/m³. Number 15: calculated density 5.7 Mg/m³. Number 16: calculated density 7.1 Mg/m³. Number 17: calculated density 3.0 Mg/m³. Number 18: calculated density 6.9 Mg/m³. Number 19: calculated density 10.2 Mg/m³. Number 20: calculated density 3.9 Mg/m³.